(1)
A plane-wave DFT calculation with PBE was carried out for a geometry-optimized Ca2CdAu structure.

Properties
- E: -2.345 eV per atom
- Spin magnetization: 0.00 Bohr magnetons per cell

a = 6.8310 Å, b = 6.8310 Å, c = 6.8310 Å
α = 105.26°, β = 105.26°, γ = 118.27°
With the nearest neighbours (Å) after each atom.
Fractional coordinates of all 8 atoms:
Ca: 0.0951 0.6250 0.9701  2 Au 2.90, 2 Cd 3.23
Ca: 0.3750 0.3451 0.4701  2 Au 2.90, 2 Cd 3.23
Ca: 0.6549 0.1250 0.0299  2 Au 2.90, 2 Cd 3.23
Ca: 0.8750 0.9049 0.5299  2 Au 2.90, 2 Cd 3.23
Cd: 0.2500 0.7500 0.5000  4 Ca 3.23, 2 Au 3.50
Cd: 0.5000 0.5000 0.0000  4 Ca 3.23, 2 Au 3.50
Au: 0.0000 0.0000 0.0000  4 Ca 2.90
Au: 0.7500 0.2500 0.5000  4 Ca 2.90

(2)
A plane-wave DFT calculation with PBE was carried out for a geometry-optimized CaCdAu6 structure.

Properties
- E: -3.100 eV per atom
- Polymorph energy (0 for the lowest one): 49.5 meV/atom
- Spin magnetization: 0.00 Bohr magnetons per cell

a = 5.4310 Å, b = 5.4310 Å, c = 5.4310 Å
α = 90.00°, β = 90.00°, γ = 90.00°
With the nearest neighbours (Å) after each atom.
Fractional coordinates of all 8 atoms:
Ca: 0.0000 0.0000 0.0000  12 Au 3.04
Cd: 0.5000 0.5000 0.5000  12 Au 3.03
Au: 0.0000 0.2512 0.5000  2 Au 2.70-2.73
Au: 0.0000 0.7488 0.5000  2 Au 2.70-2.73
Au: 0.2512 0.5000 0.0000  2 Au 2.70-2.73
Au: 0.5000 0.0000 0.2512  2 Au 2.70-2.73
Au: 0.5000 0.0000 0.7488  2 Au 2.70-2.73
Au: 0.7488 0.5000 0.0000  2 Au 2.70-2.73

(3)
A plane-wave DFT calculation with PBE was carried out for a geometry-optimized CaCd10Au2 structure.

Properties
- E: -1.514 eV per atom
- Spin magnetization: 0.00 Bohr magnetons per cell

a = 9.9707 Å, b = 7.7182 Å, c = 7.5612 Å
α = 81.46°, β = 49.95°, γ = 48.58°
With the nearest neighbours (Å) after each atom.
Fractional coordinates of all 13 atoms:
Ca: 0.0000 0.0000 0.0000  16 Cd 3.48-3.86, 4 Au 3.78
Cd: 0.0000 0.5000 0.0000  10 Cd 2.94-3.10
Cd: 0.0079 0.6505 0.3495  7 Cd 3.01-3.35, 2 Au 3.02
Cd: 0.2871 0.5030 0.4970  2 Au 2.89, 5 Cd 2.95-3.12
Cd: 0.3495 0.9921 0.0079  7 Cd 3.01-3.35, 2 Au 3.02
Cd: 0.4970 0.7129 0.2871  2 Au 2.89, 5 Cd 2.95-3.12
Cd: 0.5000 0.0000 0.5000  10 Cd 2.94-3.10
Cd: 0.5030 0.2871 0.7129  2 Au 2.89, 5 Cd 2.95-3.12
Cd: 0.6505 0.0079 0.9921  7 Cd 3.01-3.35, 2 Au 3.02
Cd: 0.7129 0.4970 0.5030  2 Au 2.89, 5 Cd 2.95-3.12
Cd: 0.9921 0.3495 0.6505  7 Cd 3.01-3.35, 2 Au 3.02
Au: 0.0000 0.0000 0.5000  8 Cd 2.89-3.02, 2 Au 2.94
Au: 0.5000 0.5000 0.0000  8 Cd 2.89-3.02, 2 Au 2.94

(4)
A plane-wave DFT calculation with PBE was carried out for a geometry-optimized CaCdAu2 structure.

Properties
- E: -2.899 eV per atom
- Spin magnetization: 0.00 Bohr magnetons per cell

a = 3.5487 Å, b = 3.5487 Å, c = 6.9384 Å
α = 90.00°, β = 90.00°, γ = 90.00°
With the nearest neighbours (Å) after each atom.
Fractional coordinates of all 4 atoms:
Ca: 0.0000 0.0000 0.0000  8 Au 3.12, 2 Cd 3.47
Cd: 0.0000 0.0000 0.5000  8 Au 2.98
Au: 0.5000 0.5000 0.2671  4 Cd 2.98, 4 Ca 3.12, 1 Au 3.23
Au: 0.5000 0.5000 0.7329  4 Cd 2.98, 4 Ca 3.12, 1 Au 3.23

(5)
A plane-wave DFT calculation with PBE was carried out for a geometry-optimized Ca2Cd6Au3 structure.

Properties
- E: -2.098 eV per atom
- Spin magnetization: 0.00 Bohr magnetons per cell

a = 8.4775 Å, b = 8.4775 Å, c = 4.3531 Å
α = 90.00°, β = 90.00°, γ = 120.00°
With the nearest neighbours (Å) after each atom.
Fractional coordinates of all 11 atoms:
Ca: 0.3333 0.6667 0.0000  6 Au 3.38, 9 Cd 3.53-3.77
Ca: 0.6667 0.3333 0.0000  6 Au 3.38, 9 Cd 3.53-3.77
Cd: 0.0000 0.2788 0.5000  3 Au 2.70-3.03
Cd: 0.0000 0.7997 0.0000  2 Au 2.77, 6 Cd 2.94-3.03
Cd: 0.2003 0.2003 0.0000  2 Au 2.77, 6 Cd 2.94-3.03
Cd: 0.2788 0.0000 0.5000  3 Au 2.70-3.03
Cd: 0.7212 0.7212 0.5000  3 Au 2.70-3.03
Cd: 0.7997 0.0000 0.0000  2 Au 2.77, 6 Cd 2.94-3.03
Au: 0.0000 0.5978 0.5000  5 Cd 2.70-3.03
Au: 0.4022 0.4022 0.5000  5 Cd 2.70-3.03
Au: 0.5978 0.0000 0.5000  5 Cd 2.70-3.03

(6)
A plane-wave DFT calculation with PBE was carried out for a geometry-optimized Ca2Cd16Au structure.

Properties
- E: -1.296 eV per atom
- Spin magnetization: 0.00 Bohr magnetons per cell

a = 7.7040 Å, b = 7.7040 Å, c = 7.7040 Å
α = 82.17°, β = 82.17°, γ = 82.17°
With the nearest neighbours (Å) after each atom.
Fractional coordinates of all 19 atoms:
Ca: 0.0000 0.0000 0.0000  16 Cd 3.55-3.81
Ca: 0.3379 0.3379 0.3379  1 Au 3.15, 6 Cd 3.48-3.49
Cd: 0.0355 0.0355 0.4694  8 Cd 2.90-3.22
Cd: 0.0355 0.4694 0.0355  8 Cd 2.90-3.22
Cd: 0.1417 0.6825 0.6825  9 Cd 2.93-3.05, 1 Au 3.23
Cd: 0.3214 0.3214 0.7942  8 Cd 2.90-3.18, 1 Au 2.95
Cd: 0.3214 0.7942 0.3214  8 Cd 2.90-3.18, 1 Au 2.95
Cd: 0.3628 0.6637 0.9663  8 Cd 2.93-3.22
Cd: 0.3628 0.9663 0.6637  8 Cd 2.93-3.22
Cd: 0.4694 0.0355 0.0355  8 Cd 2.90-3.22
Cd: 0.6637 0.3628 0.9663  8 Cd 2.93-3.22
Cd: 0.6637 0.9663 0.3628  8 Cd 2.93-3.22
Cd: 0.6825 0.1417 0.6825  9 Cd 2.93-3.05, 1 Au 3.23
Cd: 0.6825 0.6825 0.1417  9 Cd 2.93-3.05, 1 Au 3.23
Cd: 0.7466 0.7466 0.7466  9 Cd 3.00-3.30, 1 Au 3.00
Cd: 0.7942 0.3214 0.3214  8 Cd 2.90-3.18, 1 Au 2.95
Cd: 0.9663 0.3628 0.6637  8 Cd 2.93-3.22
Cd: 0.9663 0.6637 0.3628  8 Cd 2.93-3.22
Au: 0.5473 0.5473 0.5473  7 Cd 2.95-3.23, 1 Ca 3.15

(7)
A plane-wave DFT calculation with PBE was carried out for a geometry-optimized Ca3Cd2Au2 structure.

Properties
- E: -2.617 eV per atom
- Spin magnetization: 0.00 Bohr magnetons per cell

a = 11.3352 Å, b = 11.3352 Å, c = 3.8129 Å
α = 90.00°, β = 90.00°, γ = 157.80°
With the nearest neighbours (Å) after each atom.
Fractional coordinates of all 7 atoms:
Ca: 0.0000 0.0000 0.0000  8 Cd 3.38, 2 Ca 3.77
Ca: 0.1695 0.8305 0.0000  6 Au 3.03-3.30
Ca: 0.8305 0.1695 0.0000  6 Au 3.03-3.30
Cd: 0.4216 0.5784 0.5000  1 Au 2.91
Cd: 0.5784 0.4216 0.5000  1 Au 2.91
Au: 0.2909 0.7091 0.5000  2 Au 2.84, 1 Cd 2.91, 4 Ca 3.03
Au: 0.7091 0.2909 0.5000  2 Au 2.84, 1 Cd 2.91, 4 Ca 3.03

(8)
A plane-wave DFT calculation with PBE was carried out for a geometry-optimized Ca2Cd3Au4 structure.

Properties
- E: -2.701 eV per atom
- Polymorph energy (0 for the lowest one): 0.0 meV/atom
- Spin magnetization: 0.00 Bohr magnetons per cell

a = 4.9635 Å, b = 4.9635 Å, c = 9.3544 Å
α = 95.34°, β = 95.34°, γ = 60.99°
With the nearest neighbours (Å) after each atom.
Fractional coordinates of all 9 atoms:
Ca: 0.1410 0.1410 0.2764  7 Au 2.97-3.13, 1 Cd 3.30
Ca: 0.8590 0.8590 0.7236  7 Au 2.97-3.13, 1 Cd 3.30
Cd: 0.2095 0.2095 0.9100  5 Au 2.92-2.97, 2 Cd 3.07
Cd: 0.5000 0.5000 0.5000  8 Au 2.95-3.24
Cd: 0.7905 0.7905 0.0900  5 Au 2.92-2.97, 2 Cd 3.07
Au: 0.1828 0.1828 0.5962  4 Cd 2.92-3.05, 4 Ca 2.97-3.13
Au: 0.4571 0.4571 0.1512  5 Cd 2.92-3.24, 1 Au 3.00, 3 Ca 3.06-3.13
Au: 0.5429 0.5429 0.8488  5 Cd 2.92-3.24, 1 Au 3.00, 3 Ca 3.06-3.13
Au: 0.8172 0.8172 0.4038  4 Cd 2.92-3.05, 4 Ca 2.97-3.13

Look up the spin magnetization of the first one. 0.00 Bohr magnetons per cell

Which formula does entry 1 have? Ca2CdAu

What is the E in the first record? -2.345 eV per atom